Entry 1:
VASP calculation (PBE-GGA) on a relaxed structure of CuOsRh2.

Values from the calculation:
SG: I-42d
E_form: 0.715 eV per atom
mass density: 12.4 g/cm3

```
CuOsRh2
1.0
6.798 0.000 0.000
0.000 6.798 0.000
0.000 0.000 5.344
Cu Os Rh
4 4 8
Cartesian
0.000 0.000 0.000
0.000 3.399 1.336
3.399 0.000 4.008
3.399 3.399 2.672
0.000 0.000 2.672
0.000 3.399 4.008
3.399 0.000 1.336
3.399 3.399 0.000
1.626 1.700 3.340
1.700 5.025 4.676
1.700 5.172 2.004
1.773 1.700 0.668
5.025 5.099 0.668
5.099 1.626 2.004
5.099 1.773 4.676
5.172 5.099 3.340
```

Entry 2:
VASP calculation (PBE-GGA) on a relaxed structure of Tb8TmIn2.

Values from the calculation:
SG: C2/m
E_form: -0.042 eV per atom
mass density: 8.1 g/cm3

```
Tb8TmIn2
1.0
4.425 -7.620 0.000
4.425 7.620 0.000
-2.511 0.000 5.068
Tb Tm In
8 1 2
Cartesian
0.281 1.744 3.170
4.425 4.344 0.000
0.281 -1.744 3.170
3.072 0.000 1.035
3.266 0.000 4.032
6.058 1.744 1.897
4.425 -4.344 0.000
6.058 -1.744 1.897
0.000 0.000 0.000
3.169 2.946 2.534
3.169 -2.946 2.534
```

Entry 3:
VASP calculation (PBE-GGA) on a relaxed structure of Al2CuSb.

Values from the calculation:
formation energy (no corrections): 0.22 eV per atom
SG: Cmmm
mass density: 5.3 g/cm3

```
Al2CuSb
1.0
5.596 0.000 0.000
0.000 7.777 0.000
0.000 0.000 3.427
Al Cu Sb
4 2 2
Cartesian
1.399 1.944 0.000
1.399 5.833 0.000
4.197 1.944 0.000
4.197 5.833 0.000
0.000 0.000 1.714
2.798 3.888 1.714
0.000 3.888 1.714
2.798 0.000 1.714
```

Number 1: D(E_F) 23.566 states/eV per cell. Number 2: D(E_F) 14.940 states/eV per cell. Number 3: D(E_F) 2.357 states/eV per cell.